KScP2: single point on PBEsol structure, SCAN.

Computed properties:
- energy (eV/atom) = -11.3996
- SG = No. 122
- total magnetization (μB per formula unit) = 0.0
- ΔE_f (eV per formula unit) = -2.2

abc: 9.0743 9.0743 9.0743
angles: 145.99 145.99 48.86
Last column: nearest neighbours and their distance in Å.
Fractional positions:
K 0.0000 0.0000 0.0000  4 P 3.41, 4 Sc 3.75
K 0.7500 0.2500 0.5000  4 P 3.41, 4 Sc 3.75
Sc 0.2500 0.7500 0.5000  4 P 2.47
Sc 0.5000 0.5000 0.0000  4 P 2.47
P 0.3209 0.6250 0.1959  2 Sc 2.47, 2 P 2.72
P 0.3750 0.5709 0.6959  2 Sc 2.47, 2 P 2.72
P 0.4291 0.1250 0.8041  2 Sc 2.47, 2 P 2.72
P 0.8750 0.6791 0.3041  2 Sc 2.47, 2 P 2.72


KSc2P: single point on PBEsol structure, SCAN.

Computed properties:
- energy (eV/atom) = -11.6836
- SG = No. 119
- total magnetization (μB per formula unit) = 0.0
- ΔE_f (eV per formula unit) = 0.5

abc: 5.8309 5.8309 5.8309
angles: 138.63 138.63 59.94
Last column: nearest neighbours and their distance in Å.
Fractional positions:
K 0.0000 0.0000 0.0000  8 Sc 2.91-3.26, 4 P 3.26
Sc 0.2500 0.7500 0.5000  4 P 2.91, 4 K 3.26, 4 Sc 3.26
Sc 0.5000 0.5000 0.0000  4 K 2.91, 4 Sc 3.26, 4 P 3.26
P 0.7500 0.2500 0.5000  8 Sc 2.91-3.26, 4 K 3.26


Please write out number 1 again, unchanged.
KScP2: single point on PBEsol structure, SCAN.

Computed properties:
- energy (eV/atom) = -11.3996
- SG = No. 122
- total magnetization (μB per formula unit) = 0.0
- ΔE_f (eV per formula unit) = -2.2

abc: 9.0743 9.0743 9.0743
angles: 145.99 145.99 48.86
Last column: nearest neighbours and their distance in Å.
Fractional positions:
K 0.0000 0.0000 0.0000  4 P 3.41, 4 Sc 3.75
K 0.7500 0.2500 0.5000  4 P 3.41, 4 Sc 3.75
Sc 0.2500 0.7500 0.5000  4 P 2.47
Sc 0.5000 0.5000 0.0000  4 P 2.47
P 0.3209 0.6250 0.1959  2 Sc 2.47, 2 P 2.72
P 0.3750 0.5709 0.6959  2 Sc 2.47, 2 P 2.72
P 0.4291 0.1250 0.8041  2 Sc 2.47, 2 P 2.72
P 0.8750 0.6791 0.3041  2 Sc 2.47, 2 P 2.72


Among the records above, which one has the highest energy?
KScP2


Please write out number 1 again, unchanged.
KScP2: single point on PBEsol structure, SCAN.

Computed properties:
- energy (eV/atom) = -11.3996
- SG = No. 122
- total magnetization (μB per formula unit) = 0.0
- ΔE_f (eV per formula unit) = -2.2

abc: 9.0743 9.0743 9.0743
angles: 145.99 145.99 48.86
Last column: nearest neighbours and their distance in Å.
Fractional positions:
K 0.0000 0.0000 0.0000  4 P 3.41, 4 Sc 3.75
K 0.7500 0.2500 0.5000  4 P 3.41, 4 Sc 3.75
Sc 0.2500 0.7500 0.5000  4 P 2.47
Sc 0.5000 0.5000 0.0000  4 P 2.47
P 0.3209 0.6250 0.1959  2 Sc 2.47, 2 P 2.72
P 0.3750 0.5709 0.6959  2 Sc 2.47, 2 P 2.72
P 0.4291 0.1250 0.8041  2 Sc 2.47, 2 P 2.72
P 0.8750 0.6791 0.3041  2 Sc 2.47, 2 P 2.72